Entry 1
Compound: DyCuNi4
Source: Alexandria via LeMat-Bulk
Functional: PBE-GGA
Structure: relaxed

Results
- Space group: Cmcm (63)

a b c (Å): 3.7764 5.9466 7.6493
angles (deg): 90.00 104.29 90.00
Atoms (fractional coordinates):
Ni1 0.9265 0.2500 0.8530
Ni2 0.5000 0.5000 0.0000
Ni3 0.3355 0.0585 0.6709
Ni4 0.5000 0.0000 0.0000
Ni5 0.6646 0.5585 0.3291
Ni6 0.3355 0.4415 0.6709
Ni7 0.0735 0.7500 0.1470
Ni8 0.6646 0.9415 0.3291
Dy1 0.8900 0.7500 0.7800
Dy2 0.1100 0.2500 0.2200
Cu1 0.7652 0.2500 0.5304
Cu2 0.2348 0.7500 0.4696



Entry 2
Compound: DyCuNi4
Source: Alexandria via LeMat-Bulk
Functional: PBE-GGA
Structure: relaxed

Results
- Space group: F-43m (216)

a b c (Å): 4.8592 4.8592 4.8592
angles (deg): 60.00 60.00 60.00
Site moments in Bohr magnetons follow the coordinates.
Atoms (fractional coordinates):
Ni1 0.1221 0.6260 0.6260  0.28
Ni2 0.6260 0.1221 0.6260  0.28
Ni3 0.6260 0.6260 0.6260  0.28
Ni4 0.6260 0.6260 0.1221  0.28
Dy1 0.2500 0.2500 0.2500  -0.04
Cu1 0.0000 0.0000 0.0000  0.01



The structure with the most favorable energy is entry 2; the runner-up is 162 meV/atom above it.



Entry 1
Compound: PmDyCuNi
Source: Alexandria via LeMat-Bulk
Functional: PBE-GGA
Structure: relaxed

Results
- Space group: F-43m (216)

a b c (Å): 4.9075 4.9075 4.9075
angles (deg): 60.00 60.00 60.00
Atoms (fractional coordinates):
Dy1 0.5000 0.5000 0.5000
Cu1 0.7500 0.7500 0.7500
Ni1 0.2500 0.2500 0.2500
Pm1 0.0000 0.0000 0.0000



Entry 2
Compound: PmDyCuNi
Source: Alexandria via LeMat-Bulk
Functional: PBE-GGA
Structure: relaxed

Results
- Space group: Amm2 (38)

a b c (Å): 3.7665 4.4324 5.5082
angles (deg): 90.00 109.99 90.00
Atoms (fractional coordinates):
Dy1 0.8624 0.5000 0.7247
Pm1 0.1405 0.0000 0.2810
Cu1 0.5692 0.5000 0.1384
Ni1 0.4279 0.0000 0.8559



The structure with the most favorable energy is entry 2; the runner-up is 44 meV/atom above it.



Entry 1
Compound: TbDyCuNi
Source: Alexandria via LeMat-Bulk
Functional: PBE-GGA
Structure: relaxed

Results
- Space group: Amm2 (38)

a b c (Å): 3.7050 4.4037 5.4421
angles (deg): 90.00 109.90 90.00
Atoms (fractional coordinates):
Tb1 0.1392 0.0000 0.2785
Dy1 0.8612 0.5000 0.7225
Cu1 0.5717 0.5000 0.1435
Ni1 0.4278 0.0000 0.8556



Entry 2
Compound: TbDyCuNi
Source: Alexandria via LeMat-Bulk
Functional: PBE-GGA
Structure: relaxed

Results
- Space group: F-43m (216)

a b c (Å): 4.8475 4.8475 4.8475
angles (deg): 60.00 60.00 60.00
Atoms (fractional coordinates):
Cu1 0.7500 0.7500 0.7500
Dy1 0.5000 0.5000 0.5000
Tb1 0.0000 0.0000 0.0000
Ni1 0.2500 0.2500 0.2500



The structure with the most favorable energy is entry 1; the runner-up is 40 meV/atom above it.



Entry 1
Compound: DyThCuNi
Source: Alexandria via LeMat-Bulk
Functional: PBE-GGA
Structure: relaxed

Results
- Space group: F-43m (216)

a b c (Å): 4.9323 4.9323 4.9323
angles (deg): 60.00 60.00 60.00
Atoms (fractional coordinates):
Dy1 0.0000 0.0000 0.0000
Ni1 0.7500 0.7500 0.7500
Cu1 0.2500 0.2500 0.2500
Th1 0.5000 0.5000 0.5000



Entry 2
Compound: DyThCuNi
Source: Alexandria via LeMat-Bulk
Functional: PBE-GGA
Structure: relaxed

Results
- Space group: Amm2 (38)

a b c (Å): 3.6891 4.2952 5.7650
angles (deg): 90.00 108.66 90.00
Atoms (fractional coordinates):
Cu1 0.5774 0.5000 0.1549
Dy1 0.1388 0.0000 0.2776
Th1 0.8663 0.5000 0.7326
Ni1 0.4175 0.0000 0.8349



The structure with the most favorable energy is entry 2; the runner-up is 100 meV/atom above it.